{"formula": "Sm8Dy2Th", "functional": "PBE-GGA", "state": "optimized geometry", "cell": [[9.2023, -2.5522, 0.0000], [9.2023, 2.5522, 0.0000], [-2.1302, 0.0000, 7.7926]], "species": ["Sm", "Sm", "Sm", "Sm", "Sm", "Sm", "Sm", "Sm", "Dy", "Dy", "Th"], "frac_coords": [[0.0451, 0.0451, 0.2333], [0.1353, 0.1353, 0.6812], [0.3197, 0.3197, 0.5906], [0.4089, 0.4089, 0.0477], [0.5911, 0.5911, 0.9523], [0.6803, 0.6803, 0.4094], [0.8647, 0.8647, 0.3188], [0.9549, 0.9549, 0.7667], [0.2280, 0.2280, 0.1355], [0.7720, 0.7720, 0.8645], [0.5000, 0.5000, 0.5000]], "total_energy_ev_per_cell": -54.1, "e_above_lowest_polymorph_mev_per_atom": 0, "crystal_system": "monoclinic", "m_tot_mub_per_fu": 0.0, "n_ef_per_ev_atom": 1.456}